# CdInHg2O

A relaxed structure of CdInHg2O (PBE, Alexandria).

Summary:
space-group type	P4/mmm, No. 123
VASP energy	-9.4	eV/cell
total moment	0.00	μB/f.u.
E_form (uncorrected)	-0.031	eV/atom

a = 5.973 Å, b = 4.019 Å, c = 5.973 Å
α = 90.00°, β = 90.00°, γ = 90.00°
Fractional coordinates of all 5 atoms:
Hg (0.000, 0.000, 0.500)
Hg (0.500, 0.000, 0.000)
In (0.000, 0.500, 0.000)
Cd (0.500, 0.500, 0.500)
O (0.000, 0.000, 0.000)


# CoSb2As

A relaxed structure of CoSb2As (PBE, Alexandria).

Summary:
space-group type	Cm, No. 8
VASP energy	-19.7	eV/cell
total moment	0.00	μB/f.u.
E_form (uncorrected)	0.063	eV/atom

a = 4.441 Å, b = 4.441 Å, c = 6.398 Å
α = 71.68°, β = 71.68°, γ = 47.13°
Fractional coordinates of all 4 atoms:
Sb (0.912, 0.912, 0.050)
Sb (0.724, 0.724, 0.703)
As (0.578, 0.578, 0.371)
Co (0.285, 0.285, 0.376)


# Pm3Ag3Sb4

A relaxed structure of Pm3Ag3Sb4 (PBE, Alexandria).

Summary:
space-group type	I-43d, No. 220
VASP energy	-92.2	eV/cell
total moment	0.00	μB/f.u.
E_form (uncorrected)	-0.682	eV/atom

a = 8.741 Å, b = 8.741 Å, c = 8.741 Å
α = 109.47°, β = 109.47°, γ = 109.47°
Fractional coordinates of all 20 atoms:
Ag (0.250, 0.375, 0.625)
Ag (0.875, 0.625, 0.750)
Ag (0.375, 0.250, 0.125)
Ag (0.625, 0.875, 0.250)
Ag (0.750, 0.125, 0.875)
Ag (0.125, 0.750, 0.375)
Sb (0.671, 0.171, 0.171)
Sb (0.000, 0.000, 0.829)
Sb (0.500, 0.329, 0.500)
Sb (0.000, 0.000, 0.329)
Sb (0.500, 0.829, 0.500)
Sb (0.329, 0.500, 0.000)
Sb (0.829, 0.500, 0.000)
Sb (0.171, 0.671, 0.671)
Pm (0.750, 0.625, 0.375)
Pm (0.250, 0.875, 0.125)
Pm (0.875, 0.250, 0.625)
Pm (0.625, 0.750, 0.875)
Pm (0.375, 0.125, 0.750)
Pm (0.125, 0.375, 0.250)


# Li4TlPbAu2

A relaxed structure of Li4TlPbAu2 (PBE, Alexandria).

Summary:
space-group type	R-3m, No. 166
VASP energy	-23.3	eV/cell
total moment	0.00	μB/f.u.
DFT formation energy	-0.383	eV/atom

a = 4.635 Å, b = 4.635 Å, c = 8.091 Å
α = 73.35°, β = 73.35°, γ = 60.00°
Fractional coordinates of all 8 atoms:
Tl (0.500, 0.500, 0.500)
Li (0.624, 0.624, 0.129)
Li (0.376, 0.376, 0.871)
Li (0.874, 0.874, 0.377)
Li (0.126, 0.126, 0.623)
Pb (0.000, 0.000, 0.000)
Au (0.251, 0.251, 0.248)
Au (0.749, 0.749, 0.752)


# Pr6TlCd

A relaxed structure of Pr6TlCd (PBE, Alexandria).

Summary:
energy above the lowest structure with this stoichiometry	0.000	eV/atom
space-group type	P4/mmm, No. 123
VASP energy	-33.3	eV/cell
total moment	0.00	μB/f.u.
DFT formation energy	-0.163	eV/atom

a = 5.030 Å, b = 5.030 Å, c = 10.025 Å
α = 90.00°, β = 90.00°, γ = 90.00°
Fractional coordinates of all 8 atoms:
Cd (0.000, 0.000, 0.000)
Pr (0.000, 0.500, 0.250)
Pr (0.000, 0.500, 0.750)
Pr (0.500, 0.000, 0.250)
Pr (0.500, 0.500, 0.000)
Pr (0.500, 0.500, 0.500)
Pr (0.500, 0.000, 0.750)
Tl (0.000, 0.000, 0.500)


# FeCuOs2

A relaxed structure of FeCuOs2 (PBE, Alexandria).

Summary:
energy above the lowest structure with this stoichiometry	0.679	eV/atom
space-group type	I-42d, No. 122
VASP energy	-63.0	eV/cell
total moment	0.00	μB/f.u.
DFT formation energy	0.882	eV/atom

a = 6.974 Å, b = 6.974 Å, c = 5.492 Å
α = 50.59°, β = 50.59°, γ = 90.00°
Fractional coordinates of all 8 atoms:
Cu (0.000, 0.000, 0.000)
Cu (0.750, 0.250, 0.500)
Os (0.375, 0.433, 0.750)
Os (0.567, 0.125, 0.250)
Os (0.183, 0.625, 0.250)
Os (0.875, 0.817, 0.750)
Fe (0.500, 0.500, 0.000)
Fe (0.250, 0.750, 0.500)


# MoPtW

A relaxed structure of MoPtW (PBE, Alexandria).

Summary:
energy above the lowest structure with this stoichiometry	0.077	eV/atom
space-group type	Imm2, No. 44
VASP energy	-29.9	eV/cell
total moment	0.00	μB/f.u.
DFT formation energy	-0.023	eV/atom

a = 4.948 Å, b = 4.948 Å, c = 4.948 Å
α = 148.33°, β = 131.13°, γ = 59.41°
Fractional coordinates of all 3 atoms:
Mo (0.002, 0.002, 0.000)
W (0.665, 0.665, 0.000)
Pt (0.333, 0.333, 0.000)


# Eu2HoGa

A relaxed structure of Eu2HoGa (PBE, Alexandria).

Summary:
energy above the lowest structure with this stoichiometry	0.367	eV/atom
space-group type	R-3m, No. 166
VASP energy	-27.3	eV/cell
total moment	15.48	μB/f.u.
DFT formation energy	0.216	eV/atom

a = 3.609 Å, b = 3.609 Å, c = 12.462 Å
α = 81.67°, β = 81.67°, γ = 60.00°
Fractional coordinates of all 4 atoms:
Eu (0.915, 0.915, 0.254)
Eu (0.085, 0.085, 0.746)
Ga (0.000, 0.000, 0.000)
Ho (0.500, 0.500, 0.500)